SrBeGePt3 | PBE | relaxed

Formation enthalpy at 0 K: -0.652 eV per atom
N(E_F): 1.9 states/eV/f.u.
Space group: Cmcm (63)

POSCAR file:
```
SrBeGePt3
1.0
5.721 0.000 0.000
0.000 6.539 0.000
0.000 -3.270 6.061
Ge Pt Sr Be
2 6 2 2
Cartesian
4.291 3.270 1.458
1.430 0.000 4.602
1.430 0.000 2.193
4.291 3.270 3.868
0.000 1.759 0.000
2.861 4.780 0.000
2.861 1.759 0.000
0.000 4.780 0.000
4.291 0.000 3.239
1.430 3.270 2.822
4.291 0.000 0.070
1.430 3.270 5.991
```